<i>
Entry from Alexandria via LeMat-Bulk: a PBEsol-optimized structure of KZrTc2 (SCAN).

```
KZrTc2
1.0
-1.6990 -1.7962 -1.7643
2.1159 -3.4406 1.4653
-4.9226 -0.6427 5.5991
K Tc Zr
1 2 1
direct
0.5000 0.5000 0.5000
0.9944 0.0000 0.8555
0.0056 0.0000 0.1445
0.5000 0.5000 0.0000
```

Values from the calculation:
magnetization	0.0	μB per cell
symmetry	No. 10


<ii>
Entry from Alexandria via LeMat-Bulk: a PBEsol-optimized structure of KZrTc2 (SCAN).

```
KZrTc2
1.0
2.8457 0.0038 0.0000
-1.0577 2.6418 0.0000
0.0000 0.0000 10.0235
K Tc Zr
1 2 1
direct
0.5000 0.5000 0.0000
0.0000 0.0000 0.2865
0.0000 0.0000 0.7135
0.5000 0.5000 0.5000
```

Values from the calculation:
magnetization	0.0	μB per cell
symmetry	No. 65


<iii>
Entry from Alexandria via LeMat-Bulk: a PBEsol-optimized structure of KZrTc2 (SCAN).

```
KZrTc2
1.0
2.8035 0.0000 0.0000
1.4017 2.4279 0.0000
1.4017 0.8093 10.7975
K Tc Zr
1 2 1
direct
0.0000 0.0000 0.0000
0.2431 0.2431 0.2708
0.7569 0.7569 0.7292
0.5000 0.5000 0.5000
```

Values from the calculation:
magnetization	0.0	μB per cell
symmetry	No. 166


Stability, lowest: <iii>


<i>
Entry from Alexandria via LeMat-Bulk: a PBEsol-optimized structure of K2ZnTe (SCAN).

```
K2ZnTe
1.0
4.5686 0.0000 0.0000
0.0000 5.3841 0.0000
0.0000 0.0000 5.3841
K Te Zn
2 1 1
direct
0.0000 0.0000 0.5000
0.0000 0.5000 0.0000
0.5000 0.5000 0.5000
0.5000 0.0000 0.0000
```

Values from the calculation:
magnetization	0.0	μB per cell
symmetry	No. 123


<ii>
Entry from Alexandria via LeMat-Bulk: a PBEsol-optimized structure of K2ZnTe (SCAN).

```
K2ZnTe
1.0
4.2519 0.0000 0.0000
0.0000 5.3540 -0.1216
-2.1259 -2.5299 5.9385
K Te Zn
2 1 1
direct
0.9734 0.9730 0.9467
0.7757 0.2762 0.5514
0.5430 0.5423 0.0860
0.2080 0.7086 0.4159
```

Values from the calculation:
magnetization	0.0	μB per cell
symmetry	No. 8


Stability, lowest: <i>


<i>
Entry from Alexandria via LeMat-Bulk: a PBEsol-optimized structure of K3YTi (SCAN).

```
K3YTi
1.0
-0.7134 -1.6743 -6.4129
1.8948 -6.2323 1.4164
-6.3513 -1.6713 1.1429
Y K Ti
1 3 1
direct
0.0000 0.0000 0.0000
0.0000 0.5000 0.0000
0.0000 0.0000 0.5000
0.5000 0.0000 0.0000
0.5000 0.5000 0.5000
```

Values from the calculation:
magnetization	6.1	μB per cell
symmetry	No. 221


<ii>
Entry from Alexandria via LeMat-Bulk: a PBEsol-optimized structure of K3YTi (SCAN).

```
K3YTi
1.0
-5.3438 -0.5457 3.2935
3.3304 -0.4425 5.3304
-0.2304 6.2615 0.6638
Y K Ti
1 3 1
direct
0.5000 0.5000 0.5000
0.0000 0.5000 0.0000
0.0000 0.0000 0.5000
0.5000 0.0000 0.0000
0.0000 0.0000 0.0000
```

Values from the calculation:
magnetization	2.4	μB per cell
symmetry	No. 221


Stability, lowest: <i>


<i>
Entry from Alexandria via LeMat-Bulk: a PBEsol-optimized structure of KTl5 (SCAN).

```
KTl5
1.0
3.7429 0.0000 0.0000
-1.8714 6.4793 -0.0805
0.0000 -2.1521 7.3810
K Tl
1 5
direct
0.0277 0.0555 0.0554
0.6950 0.3900 0.4109
0.3603 0.7206 0.6998
0.3458 0.6915 0.2365
0.0279 0.0557 0.5558
0.7100 0.4200 0.8750
```

Values from the calculation:
magnetization	0.0	μB per cell
symmetry	No. 12


<ii>
Entry from Alexandria via LeMat-Bulk: a PBEsol-optimized structure of KTl5 (SCAN).

```
KTl5
1.0
-2.2044 2.9318 -1.5103
1.1827 -0.9930 -3.6539
-8.8851 -7.1598 -0.9302
K Tl
1 5
direct
0.5000 0.5000 0.0000
0.0000 0.0000 0.8003
0.0000 0.0000 0.1997
0.5000 0.5000 0.6526
0.5000 0.5000 0.3474
0.0000 0.0000 0.5000
```

Values from the calculation:
magnetization	0.0	μB per cell
symmetry	No. 123


<iii>
Entry from Alexandria via LeMat-Bulk: a PBEsol-optimized structure of KTl5 (SCAN).

```
KTl5
1.0
5.3199 0.0000 0.0000
0.0000 6.5029 0.0000
0.0000 -3.2514 5.6317
K Tl
1 5
direct
0.0000 0.0000 0.0000
0.0000 0.6667 0.3333
0.0000 0.3333 0.6667
0.5000 0.5000 0.5000
0.5000 0.0000 0.5000
0.5000 0.5000 0.0000
```

Values from the calculation:
magnetization	0.0	μB per cell
symmetry	No. 191


Stability, lowest: <iii>